Here is a relaxed LiPrHg2 crystal from Alexandria. Energies are from GGA-PBE.

It has space group Fm-3m (No. 225), with a = 7.319 Å, b = 7.319 Å, c = 7.319 Å, α = 90.00°, β = 90.00° and γ = 90.00°. Symmetry generates all atoms from Li at (0.000, 0.000, 0.000), Pr at (0.000, 0.000, 0.500) and Hg at (0.250, 0.250, 0.250).

The crystal system is cubic. As for the energy of formation from the pure elements: -454 meV/atom. For the volume, the calculation gives 392.1 Å³/cell. Its electronic total energy is -0.167 Ry per atom.

Here is a relaxed LiPr8Hg2 crystal from Alexandria. Energies are from GGA-PBE.

It has space group C2/m (No. 12), with a = 18.780 Å, b = 5.383 Å, c = 7.273 Å, α = 90.00°, β = 105.19° and γ = 90.00°. Symmetry generates all atoms from Li at (0.000, 0.000, 0.000), Pr at (0.023, 0.500, 0.764), Pr at (0.091, 0.000, 0.465), Pr at (0.163, 0.000, 0.970), Pr at (0.195, 0.500, 0.304) and Hg at (0.186, 0.500, 0.725).

The crystal system is monoclinic. As for the energy of formation from the pure elements: -123 meV/atom. For the volume, the calculation gives 709.5 Å³/cell. Its electronic total energy is -0.281 Ry per atom.

Here is a relaxed LiPrHg3 crystal from Alexandria. Energies are from GGA-PBE.

It has space group P6_3/mmc (No. 194), with a = 6.9838 Å, b = 6.9838 Å, c = 5.5568 Å, α = 90.00°, β = 90.00° and γ = 120.00°. Symmetry generates all atoms from Li at (0.0000, 0.0000, 0.0000), Pr at (0.3333, 0.6667, 0.2500) and Hg at (0.1861, 0.3721, 0.7500).

The crystal system is hexagonal. As for the energy of formation from the pure elements: -369 meV/atom. For the volume, the calculation gives 234.8 Å³/cell. Its electronic total energy is -0.139 Ry per atom.

Here is a relaxed Li2Pr2Hg3 crystal from Alexandria. Energies are from GGA-PBE.

It has space group Cmmm (No. 65), with a = 4.006 Å, b = 24.029 Å, c = 3.496 Å, α = 90.00°, β = 90.00° and γ = 90.00°. Symmetry generates all atoms from Li at (0.000, 0.217, 0.000), Pr at (0.000, 0.083, 0.000), Hg at (0.000, 0.329, 0.500) and Hg at (0.000, 0.500, 0.500).

The crystal system is orthorhombic. As for the energy of formation from the pure elements: -347 meV/atom. For the volume, the calculation gives 336.5 Å³/cell. Its electronic total energy is -0.176 Ry per atom.

Here is a relaxed LiPr5Hg6 crystal from Alexandria. Energies are from GGA-PBE.

It has space group Immm (No. 71), with a = 5.373 Å, b = 7.570 Å, c = 16.290 Å, α = 90.00°, β = 90.00° and γ = 90.00°. Symmetry generates all atoms from Li at (0.000, 0.000, 0.000), Pr at (0.000, 0.000, 0.332), Pr at (0.000, 0.500, 0.000), Pr at (0.000, 0.500, 0.336), Hg at (0.000, 0.240, 0.159) and Hg at (0.000, 0.262, 0.500).

The crystal system is orthorhombic. As for the energy of formation from the pure elements: -446 meV/atom. For the volume, the calculation gives 662.5 Å³/cell. Its electronic total energy is -0.202 Ry per atom.

Here is a relaxed Li2PrHg crystal from Alexandria. Energies are from GGA-PBE.

It has space group P4/mmm (No. 123), with a = 3.568 Å, b = 3.568 Å, c = 7.192 Å, α = 90.00°, β = 90.00° and γ = 90.00°. Symmetry generates all atoms from Li at (0.000, 0.000, 0.188), Pr at (0.500, 0.500, 0.500) and Hg at (0.500, 0.500, 0.000).

The crystal system is tetragonal. As for the energy of formation from the pure elements: -141 meV/atom. For the volume, the calculation gives 91.5 Å³/cell. Its electronic total energy is -0.174 Ry per atom.

Here is a relaxed Li3PrHg2 crystal from Alexandria. Energies are from GGA-PBE.

It has space group C2/m (No. 12), with a = 14.629 Å, b = 4.434 Å, c = 9.694 Å, α = 90.00°, β = 124.06° and γ = 90.00°. Symmetry generates all atoms from Li at (0.059, 0.000, 0.398), Li at (0.071, 0.500, 0.680), Li at (0.231, 0.500, 0.572), Pr at (0.132, 0.000, 0.011), Hg at (0.077, 0.500, 0.220) and Hg at (0.192, 0.000, 0.735).

The crystal system is monoclinic. As for the energy of formation from the pure elements: -309 meV/atom. For the volume, the calculation gives 521.0 Å³/cell. Its electronic total energy is -0.159 Ry per atom.

Here is a relaxed Li2PrHg crystal from Alexandria. Energies are from GGA-PBE.

It has space group P4/mmm (No. 123), with a = 4.477 Å, b = 4.477 Å, c = 5.104 Å, α = 90.00°, β = 90.00° and γ = 90.00°. Symmetry generates all atoms from Li at (0.000, 0.500, 0.000), Pr at (0.000, 0.000, 0.500) and Hg at (0.500, 0.500, 0.500).

The crystal system is tetragonal. As for the energy of formation from the pure elements: -78 meV/atom. For the volume, the calculation gives 102.3 Å³/cell. Its electronic total energy is -0.169 Ry per atom.

Here is a relaxed Li2PrHg crystal from Alexandria. Energies are from GGA-PBE.

It has space group R3m (No. 160, hexagonal axes), with a = 4.8742 Å, b = 4.8742 Å, c = 13.9236 Å, α = 90.00°, β = 90.00° and γ = 120.00°. Symmetry generates all atoms from Li at (0.0000, 0.0000, 0.0000), Li at (0.0000, 0.0000, 0.2743), Pr at (0.0000, 0.0000, 0.4968) and Hg at (0.0000, 0.0000, 0.7214).

The crystal system is trigonal. As for the energy of formation from the pure elements: -205 meV/atom. For the volume, the calculation gives 286.5 Å³/cell. Its electronic total energy is -0.179 Ry per atom.

Here is a relaxed Li2PrHg3 crystal from Alexandria. Energies are from GGA-PBE.

It has space group P6_3/mmc (No. 194), with a = 4.7304 Å, b = 4.7304 Å, c = 13.9718 Å, α = 90.00°, β = 90.00° and γ = 120.00°. Symmetry generates all atoms from Li at (0.3333, 0.6667, 0.0688), Pr at (0.0000, 0.0000, 0.2500), Hg at (0.0000, 0.0000, 0.0000) and Hg at (0.3333, 0.6667, 0.6288).

The crystal system is hexagonal. As for the energy of formation from the pure elements: -396 meV/atom. For the volume, the calculation gives 270.8 Å³/cell. Its electronic total energy is -0.146 Ry per atom.

Here is a relaxed LiPr3Hg12 crystal from Alexandria. Energies are from GGA-PBE.

It has space group P4/mmm (No. 123), with a = 4.690 Å, b = 4.690 Å, c = 18.472 Å, α = 90.00°, β = 90.00° and γ = 90.00°. Symmetry generates all atoms from Li at (0.000, 0.000, 0.000), Pr at (0.000, 0.000, 0.236), Pr at (0.000, 0.000, 0.500), Hg at (0.000, 0.500, 0.113), Hg at (0.000, 0.500, 0.370), Hg at (0.500, 0.500, 0.000), Hg at (0.500, 0.500, 0.244) and Hg at (0.500, 0.500, 0.500).

The crystal system is tetragonal. As for the energy of formation from the pure elements: -326 meV/atom. For the volume, the calculation gives 406.2 Å³/cell. Its electronic total energy is -0.115 Ry per atom.

Here is a relaxed LiPr4Hg3 crystal from Alexandria. Energies are from GGA-PBE.

It has space group I4/mmm (No. 139), with a = 5.461 Å, b = 5.461 Å, c = 15.332 Å, α = 90.00°, β = 90.00° and γ = 90.00°. Symmetry generates all atoms from Li at (0.000, 0.000, 0.000), Pr at (0.000, 0.500, 0.126), Hg at (0.000, 0.000, 0.248) and Hg at (0.000, 0.000, 0.500).

The crystal system is tetragonal. As for the energy of formation from the pure elements: -353 meV/atom. For the volume, the calculation gives 457.3 Å³/cell. Its electronic total energy is -0.227 Ry per atom.

Here is a relaxed LiPr4Hg5 crystal from Alexandria. Energies are from GGA-PBE.

It has space group P4/mmm (No. 123), with a = 3.806 Å, b = 3.806 Å, c = 18.807 Å, α = 90.00°, β = 90.00° and γ = 90.00°. Symmetry generates all atoms from Li at (0.000, 0.000, 0.000), Pr at (0.000, 0.000, 0.187), Pr at (0.000, 0.000, 0.395), Hg at (0.500, 0.500, 0.083), Hg at (0.500, 0.500, 0.291) and Hg at (0.500, 0.500, 0.500).

The crystal system is tetragonal. As for the energy of formation from the pure elements: -430 meV/atom. For the volume, the calculation gives 272.4 Å³/cell. Its electronic total energy is -0.197 Ry per atom.

Here is a relaxed Li3Pr2Hg4 crystal from Alexandria. Energies are from GGA-PBE.

It has space group Cmce (No. 64), with a = 6.220 Å, b = 16.097 Å, c = 8.332 Å, α = 90.00°, β = 90.00° and γ = 90.00°. Symmetry generates all atoms from Li at (0.000, 0.000, 0.000), Li at (0.250, 0.217, 0.250), Pr at (0.000, 0.118, 0.580), Hg at (0.000, 0.182, 0.963) and Hg at (0.250, 0.046, 0.250).

The crystal system is orthorhombic. As for the energy of formation from the pure elements: -381 meV/atom. For the volume, the calculation gives 834.2 Å³/cell. Its electronic total energy is -0.163 Ry per atom.

Here is a relaxed LiPr4Hg crystal from Alexandria. Energies are from GGA-PBE.

It has space group C2/c (No. 15), with a = 8.993 Å, b = 14.696 Å, c = 5.887 Å, α = 90.00°, β = 108.85° and γ = 90.00°. Symmetry generates all atoms from Li at (0.000, 0.000, 0.250), Pr at (0.098, 0.200, 0.055), Pr at (0.194, 0.408, 0.360) and Hg at (0.000, 0.391, 0.750).

The crystal system is monoclinic. As for the energy of formation from the pure elements: -55 meV/atom. For the volume, the calculation gives 736.3 Å³/cell. Its electronic total energy is -0.265 Ry per atom.

Here is a relaxed LiPr2Hg4 crystal from Alexandria. Energies are from GGA-PBE.

It has space group R-3m (No. 166, hexagonal axes), with a = 5.0823 Å, b = 5.0823 Å, c = 26.1211 Å, α = 90.00°, β = 90.00° and γ = 120.00°. Symmetry generates all atoms from Li at (0.0000, 0.0000, 0.0000), Pr at (0.0000, 0.0000, 0.2500), Hg at (0.0000, 0.0000, 0.1279) and Hg at (0.0000, 0.0000, 0.3706).

The crystal system is trigonal. As for the energy of formation from the pure elements: -342 meV/atom. For the volume, the calculation gives 584.3 Å³/cell. Its electronic total energy is -0.158 Ry per atom.

Here is a relaxed LiPr2Hg3 crystal from Alexandria. Energies are from GGA-PBE.

It has space group Fmmm (No. 69), with a = 6.995 Å, b = 10.036 Å, c = 17.343 Å, α = 90.00°, β = 90.00° and γ = 90.00°. Symmetry generates all atoms from Li at (0.000, 0.000, 0.167), Pr at (0.243, 0.000, 0.500), Pr at (0.250, 0.250, 0.250), Hg at (0.000, 0.000, 0.326) and Hg at (0.000, 0.237, 0.087).

The crystal system is orthorhombic. As for the energy of formation from the pure elements: -413 meV/atom. For the volume, the calculation gives 1217.6 Å³/cell. Its electronic total energy is -0.182 Ry per atom.

Here is a relaxed LiPrHg crystal from Alexandria. Energies are from GGA-PBE.

It has space group P-6m2 (No. 187), with a = 4.9601 Å, b = 4.9601 Å, c = 3.4760 Å, α = 90.00°, β = 90.00° and γ = 120.00°. Symmetry generates all atoms from Li at (0.0000, 0.0000, 0.0000), Pr at (0.6667, 0.3333, 0.5000) and Hg at (0.3333, 0.6667, 0.0000).

The crystal system is hexagonal. As for the energy of formation from the pure elements: -321 meV/atom. For the volume, the calculation gives 74.1 Å³/cell. Its electronic total energy is -0.195 Ry per atom.

Here is a relaxed LiPrHg2 crystal from Alexandria. Energies are from GGA-PBE.

It has space group P4/mmm (No. 123), with a = 5.312 Å, b = 5.312 Å, c = 3.636 Å, α = 90.00°, β = 90.00° and γ = 90.00°. Symmetry generates all atoms from Li at (0.000, 0.000, 0.000), Pr at (0.500, 0.500, 0.000) and Hg at (0.000, 0.500, 0.500).

The crystal system is tetragonal. As for the energy of formation from the pure elements: -362 meV/atom. For the volume, the calculation gives 102.6 Å³/cell. Its electronic total energy is -0.161 Ry per atom.

Here is a relaxed Li2Pr3Hg3 crystal from Alexandria. Energies are from GGA-PBE.

It has space group Immm (No. 71), with a = 3.921 Å, b = 5.284 Å, c = 20.334 Å, α = 90.00°, β = 90.00° and γ = 90.00°. Symmetry generates all atoms from Li at (0.000, 0.000, 0.241), Pr at (0.000, 0.000, 0.000), Pr at (0.000, 0.500, 0.129), Hg at (0.000, 0.000, 0.500) and Hg at (0.000, 0.500, 0.352).

The crystal system is orthorhombic. As for the energy of formation from the pure elements: -325 meV/atom. For the volume, the calculation gives 421.3 Å³/cell. Its electronic total energy is -0.199 Ry per atom.